Entry 1:
Below is a relaxed structure of Er5TmCu4, with properties calculated at the GGA-PBE level.

## Properties
- ΔH_f (0 K) (meV/atom) = -210

Lattice parameters (Å, degrees): 3.439 3.439 18.814 90.00 90.00 90.00
Space group P4/mmm (No. 123)
Inequivalent atoms, fractional coordinates:
Er (0.000, 0.000, 0.000) (multiplicity 1)
Er (0.000, 0.000, 0.184) (multiplicity 2)
Er (0.000, 0.000, 0.365) (multiplicity 2)
Tm (0.500, 0.500, 0.500) (multiplicity 1)
Cu (0.500, 0.500, 0.091) (multiplicity 2)
Cu (0.500, 0.500, 0.274) (multiplicity 2)

=====

Entry 2:
Below is a relaxed structure of PrSm2YBi5, with properties calculated at the GGA-PBE level.

## Properties
- ΔH_f (0 K) (meV/atom) = 54

Lattice parameters (Å, degrees): 5.598 5.598 11.959 90.00 90.00 90.00
Space group P4/mmm (No. 123)
Inequivalent atoms, fractional coordinates:
Pr (0.000, 0.000, 0.000) (multiplicity 1)
Sm (0.500, 0.500, 0.227) (multiplicity 2)
Y (0.000, 0.000, 0.500) (multiplicity 1)
Bi (0.000, 0.000, 0.258) (multiplicity 2)
Bi (0.000, 0.500, 0.000) (multiplicity 2)
Bi (0.500, 0.500, 0.500) (multiplicity 1)

=====

Entry 3:
Below is a relaxed structure of ScPt2Cl, with properties calculated at the GGA-PBE level.

## Properties
- ΔE_f (raw) (kJ/mol of formula units) = -290

Lattice parameters (Å, degrees): 3.694 3.412 7.747 90.00 91.09 90.00
Space group Pm (No. 6)
Inequivalent atoms, fractional coordinates:
Sc (0.000, 0.000, 0.000) (multiplicity 1)
Pt (0.492, 0.500, 0.790) (multiplicity 1)
Pt (0.988, 0.000, 0.684) (multiplicity 1)
Cl (0.011, 0.500, 0.235) (multiplicity 1)

=====

Entry 4:
Below is a relaxed structure of YVAs2, with properties calculated at the GGA-PBE level.

## Properties
- ΔH_f (0 K) (meV/atom) = -510

Lattice parameters (Å, degrees): 6.754 6.754 6.754 90.00 90.00 90.00
Space group Fm-3m (No. 225)
Inequivalent atoms, fractional coordinates:
Y (0.000, 0.000, 0.000) (multiplicity 4)
V (0.000, 0.000, 0.500) (multiplicity 4)
As (0.250, 0.250, 0.250) (multiplicity 8)

=====

Entry 5:
Below is a relaxed structure of LiScIn, with properties calculated at the GGA-PBE level.

## Properties
- ΔH_f (0 K) (meV/atom) = -296

Lattice parameters (Å, degrees): 4.7813 4.7813 3.1775 90.00 90.00 120.00
Space group P-6m2 (No. 187)
Inequivalent atoms, fractional coordinates:
Li (0.0000, 0.0000, 0.0000) (multiplicity 1)
Sc (0.3333, 0.6667, 0.5000) (multiplicity 1)
In (0.6667, 0.3333, 0.0000) (multiplicity 1)

=====

Entry 6:
Below is a relaxed structure of KMg6B, with properties calculated at the GGA-PBE level.

## Properties
- ΔH_f (0 K) (meV/atom) = 293

Lattice parameters (Å, degrees): 3.175 6.400 19.681 90.00 90.00 90.00
Space group Amm2 (No. 38)
Inequivalent atoms, fractional coordinates:
K (0.000, 0.000, 0.000) (multiplicity 2)
Mg (0.000, 0.000, 0.567) (multiplicity 2)
Mg (0.000, 0.238, 0.817) (multiplicity 4)
Mg (0.500, 0.000, 0.428) (multiplicity 2)
Mg (0.500, 0.250, 0.180) (multiplicity 4)
B (0.500, 0.000, 0.771) (multiplicity 2)

=====

Entry 7:
Below is a relaxed structure of La8Pr3, with properties calculated at the GGA-PBE level.

## Properties
- ΔH_f (0 K) (meV/atom) = 13

Lattice parameters (Å, degrees): 11.787 5.260 13.444 90.00 105.17 90.00
Space group C2/m (No. 12)
Inequivalent atoms, fractional coordinates:
La (0.045, 0.000, 0.318) (multiplicity 4)
La (0.137, 0.000, 0.954) (multiplicity 4)
La (0.182, 0.500, 0.773) (multiplicity 4)
La (0.227, 0.000, 0.590) (multiplicity 4)
Pr (0.000, 0.500, 0.500) (multiplicity 2)
Pr (0.091, 0.500, 0.136) (multiplicity 4)

=====

Entry 8:
Below is a relaxed structure of KZr2Sc, with properties calculated at the GGA-PBE level.

## Properties
- ΔH_f (0 K) (meV/atom) = 763

Lattice parameters (Å, degrees): 6.595 11.603 2.995 90.00 110.93 90.00
Space group C2/m (No. 12)
Inequivalent atoms, fractional coordinates:
K (0.000, 0.000, 0.000) (multiplicity 2)
Zr (0.250, 0.250, 0.500) (multiplicity 4)
Sc (0.000, 0.500, 0.000) (multiplicity 2)

=====

Entry 9:
Below is a relaxed structure of SrIn2W, with properties calculated at the GGA-PBE level.

## Properties
- ΔH_f (0 K) (meV/atom) = 612

Lattice parameters (Å, degrees): 4.158 4.672 9.866 90.00 90.00 90.00
Space group Cmm2 (No. 35)
Inequivalent atoms, fractional coordinates:
Sr (0.000, 0.000, 0.000) (multiplicity 2)
In (0.000, 0.000, 0.537) (multiplicity 2)
In (0.000, 0.500, 0.289) (multiplicity 2)
W (0.000, 0.500, 0.745) (multiplicity 2)

=====

Entry 10:
Below is a relaxed structure of LaPNCl2, with properties calculated at the GGA-PBE level.

## Properties
- ΔE_f (raw) (kJ/mol of formula units) = 61

Lattice parameters (Å, degrees): 5.618 5.618 6.055 90.00 90.00 90.00
Space group P4/mmm (No. 123)
Inequivalent atoms, fractional coordinates:
La (0.000, 0.000, 0.000) (multiplicity 1)
P (0.000, 0.000, 0.500) (multiplicity 1)
N (0.500, 0.500, 0.500) (multiplicity 1)
Cl (0.000, 0.500, 0.000) (multiplicity 2)

=====

Entry 11:
Below is a relaxed structure of Sr2MgOsC, with properties calculated at the GGA-PBE level.

## Properties
- ΔH_f (0 K) (meV/atom) = 2027

Lattice parameters (Å, degrees): 6.039 6.039 4.673 90.00 90.00 90.00
Space group P4/mmm (No. 123)
Inequivalent atoms, fractional coordinates:
Sr (0.000, 0.500, 0.000) (multiplicity 2)
Mg (0.000, 0.000, 0.000) (multiplicity 1)
Os (0.000, 0.000, 0.500) (multiplicity 1)
C (0.500, 0.500, 0.500) (multiplicity 1)

=====

Entry 12:
Below is a relaxed structure of Sr2In5Ag2Pd, with properties calculated at the GGA-PBE level.

## Properties
- ΔH_f (0 K) (meV/atom) = -294

Lattice parameters (Å, degrees): 10.783 10.783 4.343 90.00 90.00 90.00
Space group P4/mbm (No. 127)
Inequivalent atoms, fractional coordinates:
Sr (0.179, 0.321, 0.000) (multiplicity 4)
In (0.000, 0.500, 0.500) (multiplicity 2)
In (0.054, 0.809, 0.500) (multiplicity 8)
Ag (0.120, 0.620, 0.000) (multiplicity 4)
Pd (0.000, 0.000, 0.000) (multiplicity 2)

=====

Entry 13:
Below is a relaxed structure of Tl2TeI8, with properties calculated at the GGA-PBE level.

## Properties
- ΔE_f (raw) (kJ/mol of formula units) = -258

Lattice parameters (Å, degrees): 13.152 10.610 7.870 90.00 91.91 90.00
Space group C2/m (No. 12)
Inequivalent atoms, fractional coordinates:
Tl (0.190, 0.000, 0.022) (multiplicity 4)
Te (0.000, 0.500, 0.000) (multiplicity 2)
I (0.058, 0.000, 0.353) (multiplicity 4)
I (0.122, 0.307, 0.822) (multiplicity 8)
I (0.156, 0.500, 0.286) (multiplicity 4)

=====

Entry 14:
Below is a relaxed structure of LiAgO2, with properties calculated at the GGA-PBE level.

## Properties
- ΔE_f (raw) (kJ/mol of formula units) = -271

Lattice parameters (Å, degrees): 3.049 3.157 5.344 90.00 90.00 90.00
Space group Pmmm (No. 47)
Inequivalent atoms, fractional coordinates:
Li (0.000, 0.000, 0.000) (multiplicity 1)
Ag (0.500, 0.500, 0.500) (multiplicity 1)
O (0.000, 0.500, 0.245) (multiplicity 2)

=====

Entry 15:
Below is a relaxed structure of BaLaNd2S4, with properties calculated at the GGA-PBE level.

## Properties
- ΔE_f (raw) (kJ/mol of formula units) = -1566

Lattice parameters (Å, degrees): 8.338 8.454 11.870 90.00 90.00 90.00
Space group Imma (No. 74)
Inequivalent atoms, fractional coordinates:
Ba (0.250, 0.250, 0.250) (multiplicity 4)
La (0.000, 0.000, 0.000) (multiplicity 4)
Nd (0.000, 0.000, 0.500) (multiplicity 4)
Nd (0.250, 0.250, 0.750) (multiplicity 4)
S (0.000, 0.018, 0.748) (multiplicity 8)
S (0.247, 0.250, 0.509) (multiplicity 8)

=====

Entry 16:
Below is a relaxed structure of ZrAgCl2, with properties calculated at the GGA-PBE level.

## Properties
- ΔE_f (raw) (kJ/mol of formula units) = -162

Lattice parameters (Å, degrees): 3.4734 3.4734 26.2385 90.00 90.00 120.00
Space group R-3m (No. 166, hexagonal axes)
Inequivalent atoms, fractional coordinates:
Zr (0.0000, 0.0000, 0.0000) (multiplicity 3)
Ag (0.0000, 0.0000, 0.5000) (multiplicity 3)
Cl (0.0000, 0.0000, 0.0956) (multiplicity 6)

=====

Entry 17:
Below is a relaxed structure of Ca3Tl4Sn, with properties calculated at the GGA-PBE level.

## Properties
- ΔH_f (0 K) (meV/atom) = -213

Lattice parameters (Å, degrees): 3.654 6.762 19.934 90.00 90.00 90.00
Space group Immm (No. 71)
Inequivalent atoms, fractional coordinates:
Ca (0.000, 0.000, 0.000) (multiplicity 2)
Ca (0.000, 0.500, 0.232) (multiplicity 4)
Tl (0.000, 0.265, 0.374) (multiplicity 8)
Sn (0.000, 0.000, 0.500) (multiplicity 2)

=====

Entry 18:
Below is a relaxed structure of Ho7Pb2Au2, with properties calculated at the GGA-PBE level.

## Properties
- ΔH_f (0 K) (meV/atom) = -313

Lattice parameters (Å, degrees): 8.563 11.129 7.046 90.00 90.00 90.00
Space group Cmmm (No. 65)
Inequivalent atoms, fractional coordinates:
Ho (0.000, 0.000, 0.000) (multiplicity 2)
Ho (0.000, 0.500, 0.242) (multiplicity 4)
Ho (0.250, 0.250, 0.256) (multiplicity 8)
Pb (0.184, 0.000, 0.500) (multiplicity 4)
Au (0.000, 0.285, 0.000) (multiplicity 4)

=====

Entry 19:
Below is a relaxed structure of K2BeNbB, with properties calculated at the GGA-PBE level.

## Properties
- ΔH_f (0 K) (meV/atom) = 1658

Lattice parameters (Å, degrees): 6.659 6.659 4.129 90.00 90.00 90.00
Space group P4/mmm (No. 123)
Inequivalent atoms, fractional coordinates:
K (0.000, 0.500, 0.000) (multiplicity 2)
Be (0.000, 0.000, 0.500) (multiplicity 1)
Nb (0.500, 0.500, 0.000) (multiplicity 1)
B (0.500, 0.500, 0.500) (multiplicity 1)

=====

Entry 20:
Below is a relaxed structure of Cs2As2Ru, with properties calculated at the GGA-PBE level.

## Properties
- ΔH_f (0 K) (meV/atom) = 744

Lattice parameters (Å, degrees): 3.733 3.733 23.592 90.00 90.00 90.00
Space group I4/mmm (No. 139)
Inequivalent atoms, fractional coordinates:
Cs (0.000, 0.000, 0.111) (multiplicity 4)
As (0.000, 0.500, 0.250) (multiplicity 4)
Ru (0.000, 0.000, 0.500) (multiplicity 2)